# BaMn2Ru | Alexandria | PBEsol | optimized geometry
data_BaMn2Ru
_symmetry_space_group_name_H-M 'P 1'
_symmetry_Int_Tables_number 1
_symmetry_space_group_name_Hall 'P 1'
_cell_length_a 3.250
_cell_length_b 4.844
_cell_length_c 4.844
_cell_angle_alpha 106.22
_cell_angle_beta 90.00
_cell_angle_gamma 90.00
loop_
_atom_site_label
_atom_site_type_symbol
_atom_site_fract_x
_atom_site_fract_y
_atom_site_fract_z
Mn1 Mn 0.000 0.500 0.000
Mn2 Mn 0.000 0.000 0.500
Ru1 Ru 0.500 0.000 0.000
Ba1 Ba 0.500 0.500 0.500
# * V: 73.2 Å³/f.u.
# * formation energy from the elements: 1104.0 meV/atom
# * distance to the lowest polymorph of the same formula: 540 meV per atom